Entry from the Alexandria database: a geometry-optimized LaIn2Mo structure (PBE).

abc: 4.3521 4.3521 11.2772
angles: 78.87 78.87 90.00
Atoms (fractional coordinates):
In 0.3750 0.4144 0.7500
In 0.1644 0.6250 0.2500
In 0.8750 0.8356 0.7500
In 0.5856 0.1250 0.2500
La 0.7500 0.2500 0.5000
La 0.0000 0.0000 0.0000
Mo 0.5000 0.5000 0.0000
Mo 0.2500 0.7500 0.5000

## Properties
As for the total energy: -38.7 eV/cell. The total magnetization is 0.0000 μB/atom.